No. 1
Al2Cd2Re: optimized geometry, PBE-GGA.

Computed properties:
mass density	8.5	g cm⁻³
formation energy	0.44	eV per atom
relative energy among the computed polymorphs	0.00	kJ/mol of atoms

a b c (Å): 6.7603 6.7603 3.9970
angles (deg): 90.00 90.00 90.00
Sites, in units of the cell vectors:
Al (0.1487, 0.3513, 0.0000)
Al (0.3513, 0.8513, 0.0000)
Al (0.6487, 0.1487, 0.0000)
Al (0.8513, 0.6487, 0.0000)
Cd (0.1599, 0.6599, 0.5000)
Cd (0.3401, 0.1599, 0.5000)
Cd (0.6599, 0.8401, 0.5000)
Cd (0.8401, 0.3401, 0.5000)
Re (0.0000, 0.0000, 0.0000)
Re (0.5000, 0.5000, 0.0000)

No. 2
AlCdReSn2: optimized geometry, PBE-GGA.

Computed properties:
mass density	6.5	g cm⁻³
formation energy	1.63	eV per atom

a b c (Å): 5.4338 5.4338 4.8829
angles (deg): 90.00 90.00 90.00
Sites, in units of the cell vectors:
Al (0.0000, 0.0000, 0.0000)
Cd (0.0000, 0.0000, 0.5000)
Re (0.5000, 0.5000, 0.0000)
Sn (0.0000, 0.5000, 0.5000)
Sn (0.5000, 0.0000, 0.5000)

No. 3
Al2CdReTe: optimized geometry, PBE-GGA.

Computed properties:
energy relative to the elements, uncorrected	1.651	eV/atom
mass density	5.7	g cm⁻³

a b c (Å): 4.8733 4.8733 5.8421
angles (deg): 90.00 90.00 90.00
Sites, in units of the cell vectors:
Al (0.0000, 0.5000, 0.0000)
Al (0.5000, 0.0000, 0.0000)
Cd (0.0000, 0.0000, 0.0000)
Re (0.5000, 0.5000, 0.5000)
Te (0.0000, 0.0000, 0.5000)

No. 4
Ti2AlCdRe: optimized geometry, PBE-GGA.

Computed properties:
mass density	6.3	g cm⁻³
formation energy	0.50	eV per atom

a b c (Å): 4.7664 4.7664 4.8532
angles (deg): 90.00 90.00 90.00
Sites, in units of the cell vectors:
Ti (0.0000, 0.5000, 0.0000)
Ti (0.5000, 0.0000, 0.0000)
Al (0.0000, 0.0000, 0.5000)
Cd (0.5000, 0.5000, 0.5000)
Re (0.0000, 0.0000, 0.0000)

No. 5
Al4CdRh: optimized geometry, PBE-GGA.

Computed properties:
mass density	5.4	g cm⁻³
formation energy	0.04	eV per atom

a b c (Å): 5.2101 5.2101 5.2101
angles (deg): 60.00 60.00 60.00
Sites, in units of the cell vectors:
Al (0.3756, 0.3756, 0.3756)
Al (0.3756, 0.3756, 0.8733)
Al (0.3756, 0.8733, 0.3756)
Al (0.8733, 0.3756, 0.3756)
Cd (0.0000, 0.0000, 0.0000)
Rh (0.7500, 0.7500, 0.7500)

No. 6
AlCd2Rh: optimized geometry, PBE-GGA.

Computed properties:
mass density	8.3	g cm⁻³
formation energy	-0.22	eV per atom

a b c (Å): 5.2300 5.2300 5.2300
angles (deg): 138.60 130.55 66.40
Sites, in units of the cell vectors:
Al (0.0000, 0.0000, 0.0000)
Cd (0.2677, 0.7677, 0.5000)
Cd (0.5413, 0.5413, 0.0000)
Rh (0.8081, 0.3081, 0.5000)

No. 7
AlCd2Rh: optimized geometry, PBE-GGA.

Computed properties:
mass density	7.5	g cm⁻³
formation energy	0.16	eV per atom

a b c (Å): 6.0331 6.0331 6.0331
angles (deg): 101.32 101.32 127.41
Sites, in units of the cell vectors:
Al (0.0000, 0.0000, 0.0000)
Al (0.7500, 0.2500, 0.5000)
Cd (0.1375, 0.6250, 0.0125)
Cd (0.3750, 0.3875, 0.5125)
Cd (0.6125, 0.1250, 0.9875)
Cd (0.8750, 0.8625, 0.4875)
Rh (0.2500, 0.7500, 0.5000)
Rh (0.5000, 0.5000, 0.0000)

No. 8
AlCd2Rh2: optimized geometry, PBE-GGA.

Computed properties:
mass density	8.6	g cm⁻³
formation energy	-0.40	eV per atom

a b c (Å): 6.3633 6.3633 4.3479
angles (deg): 90.00 90.00 90.00
Sites, in units of the cell vectors:
Al (0.0000, 0.0000, 0.0000)
Al (0.5000, 0.5000, 0.0000)
Cd (0.1631, 0.3369, 0.5000)
Cd (0.3369, 0.8369, 0.5000)
Cd (0.6631, 0.1631, 0.5000)
Cd (0.8369, 0.6631, 0.5000)
Rh (0.1445, 0.6445, 0.0000)
Rh (0.3555, 0.1445, 0.0000)
Rh (0.6445, 0.8555, 0.0000)
Rh (0.8555, 0.3555, 0.0000)

No. 9
AlCdRh2: optimized geometry, PBE-GGA.

Computed properties:
mass density	9.2	g cm⁻³
formation energy	-0.42	eV per atom

a b c (Å): 8.5075 8.5075 8.5075
angles (deg): 19.92 19.92 19.92
Sites, in units of the cell vectors:
Al (0.0000, 0.0000, 0.0000)
Cd (0.5000, 0.5000, 0.5000)
Rh (0.2587, 0.2587, 0.2587)
Rh (0.7413, 0.7413, 0.7413)

No. 10
Al2CdRh3: optimized geometry, PBE-GGA.

Computed properties:
mass density	9.0	g cm⁻³
formation energy	-0.81	eV per atom

a b c (Å): 3.0218 3.0218 9.6104
angles (deg): 90.00 90.00 90.00
Sites, in units of the cell vectors:
Al (0.0000, 0.0000, 0.1595)
Al (0.0000, 0.0000, 0.8405)
Cd (0.0000, 0.0000, 0.5000)
Rh (0.5000, 0.5000, 0.0000)
Rh (0.5000, 0.5000, 0.3035)
Rh (0.5000, 0.5000, 0.6965)

No. 11
AlCdRh2: optimized geometry, PBE-GGA.

Computed properties:
mass density	9.0	g cm⁻³
formation energy	-0.33	eV per atom

a b c (Å): 4.4988 4.4988 5.1969
angles (deg): 102.82 102.82 38.36
Sites, in units of the cell vectors:
Al (0.0000, 0.0000, 0.0000)
Cd (0.5000, 0.5000, 0.5000)
Rh (0.2654, 0.2654, 0.7815)
Rh (0.7346, 0.7346, 0.2185)

No. 12
AlCd2Rh: optimized geometry, PBE-GGA.

Computed properties:
mass density	8.3	g cm⁻³
formation energy	-0.07	eV per atom

a b c (Å): 4.9357 4.9357 3.1414
angles (deg): 90.00 90.00 111.90
Sites, in units of the cell vectors:
Al (0.0000, 0.0000, 0.0000)
Cd (0.0000, 0.5000, 0.5000)
Cd (0.5000, 0.0000, 0.5000)
Rh (0.5000, 0.5000, 0.0000)